DFT (meta-GGA SCAN) results for Ta5Zn at its PBEsol-relaxed geometry.

Computed properties:
ρ (g cm⁻³): 15.8
Formation energy (eV per atom): 0.021
Magnetic moment (μB/f.u.): 0.00

```
data_Ta5Zn
_space_group_name_H-M_alt 'C m m m'
_space_group_IT_number 65
_space_group_name_Hall '-C 2 2'
_cell_length_a 3.422
_cell_length_b 13.339
_cell_length_c 4.474
_cell_angle_alpha 90.00
_cell_angle_beta 90.00
_cell_angle_gamma 90.00
loop_
_atom_site_label
_atom_site_fract_x
_atom_site_fract_y
_atom_site_fract_z
Ta1 0.000 0.000 0.000
Ta2 0.000 0.163 0.500
Ta3 0.000 0.335 0.000
Zn1 0.000 0.500 0.500
```